No. 1
A plane-wave DFT calculation with PBE was carried out for a geometry-optimized GdDyFe2Si4 structure.

abc: 3.971 8.466 8.466
angles: 27.72 90.00 90.00
Site moments in Bohr magnetons follow the coordinates.
Fractional positions:
1 Dy 0.000 0.608 0.608  0.01
2 Fe 0.500 0.179 0.179  0.05
3 Fe 0.000 0.821 0.821  0.43
4 Gd 0.500 0.392 0.392  0.01
5 Si 0.500 0.043 0.043  0.00
6 Si 0.000 0.250 0.250  0.00
7 Si 0.500 0.749 0.749  0.00
8 Si 0.000 0.957 0.957  0.00

VASP energy = -6.56 eV/atom
Total moment = 0.07 μB/atom
Space group = No. 38

No. 2
A plane-wave DFT calculation with PBE was carried out for a geometry-optimized GdDy2Fe4Si4 structure.

abc: 12.066 12.066 12.066
angles: 161.32 160.93 26.82
Site moments in Bohr magnetons follow the coordinates.
Fractional positions:
1 Dy 0.650 0.150 0.500  -0.07
2 Dy 0.350 0.850 0.500  -0.07
3 Fe 0.250 0.250 0.000  0.39
4 Fe 0.750 0.750 0.000  0.39
5 Fe 0.901 0.401 0.500  1.43
6 Fe 0.099 0.599 0.500  1.43
7 Gd 0.000 0.000 0.000  -0.05
8 Si 0.448 0.448 0.000  -0.01
9 Si 0.552 0.552 0.000  -0.01
10 Si 0.800 0.300 0.500  -0.03
11 Si 0.200 0.700 0.500  -0.03

VASP energy = -6.78 eV/atom
Total moment = 0.31 μB/atom
Space group = No. 71